The following is a DFT calculation (SCAN) of MnPtAu2 at its PBEsol-relaxed geometry.

abc: 4.883 4.883 4.703
angles: 101.94 101.94 35.02
Fractional coordinates of all 4 atoms:
Mn (0.000, 0.000, 0.000)
Pt (0.500, 0.500, 0.500)
Au (0.254, 0.254, 0.754)
Au (0.746, 0.746, 0.246)

Calculated values
**Raw total energy**: -56.993 eV/atom



The following is a DFT calculation (SCAN) of IrAuBr3 at its PBEsol-relaxed geometry.

abc: 4.954 4.954 4.954
angles: 90.00 90.00 90.00
Fractional coordinates of all 5 atoms:
Ir (0.000, 0.000, 0.000)
Au (0.500, 0.500, 0.500)
Br (0.000, 0.000, 0.500)
Br (0.000, 0.500, 0.000)
Br (0.500, 0.000, 0.000)

Calculated values
**Formation energy without anion corrections**: 589 meV/atom



no.,volume (Å³ per atom)
1,15.70
2,24.31